Computed, not measured: a relaxed ErGa2GeRu2 crystal at the GGA-PBE level of DFT.

Values from the calculation:
total DFT energy (no corrections): -5.78 eV/atom
magnetic moment: 0.0000 μB per atom

```
data_ErGa2GeRu2
_chemical_formula_sum 'Er1 Ga2 Ge1 Ru2'
_space_group_name_H-M_alt 'P 4/m m m'
_space_group_IT_number 123
_space_group_name_Hall '-P 4 2'
_cell_length_a 4.545
_cell_length_b 4.545
_cell_length_c 5.551
_cell_angle_alpha 90.00
_cell_angle_beta 90.00
_cell_angle_gamma 90.00
loop_
_atom_site_label
_atom_site_type_symbol
_atom_site_fract_x
_atom_site_fract_y
_atom_site_fract_z
Er1 Er 0.000 0.000 0.000
Ga1 Ga 0.500 0.500 0.231
Ge1 Ge 0.000 0.000 0.500
Ru1 Ru 0.000 0.500 0.500
```